Entry 1:
# PBE BeCo2NiH, optimized geometry
# * total magnetization: 2.812 μB/cell
# * uncorrected energy: -27.306 eV/f.u.
data_BeCo2NiH
_symmetry_space_group_name_H-M 'P 4/m m m'
_symmetry_Int_Tables_number 123
_symmetry_space_group_name_Hall '-P 4 2'
_cell_length_a 3.464
_cell_length_b 3.464
_cell_length_c 3.598
_cell_angle_alpha 90.00
_cell_angle_beta 90.00
_cell_angle_gamma 90.00
loop_
_atom_site_label
_atom_site_fract_x
_atom_site_fract_y
_atom_site_fract_z
Be1 0.000 0.000 0.000
Co1 0.000 0.500 0.500
Ni1 0.500 0.500 0.000
H1 0.500 0.500 0.500

=====

Entry 2:
# PBE Ba2Hg2Pb, optimized geometry
# * total magnetization: 0.000 μB/cell
# * uncorrected energy: -10.645 eV/f.u.
data_Ba2Hg2Pb
_symmetry_space_group_name_H-M 'C 1 2/m 1'
_symmetry_Int_Tables_number 12
_symmetry_space_group_name_Hall '-C 2y'
_cell_length_a 12.553
_cell_length_b 5.135
_cell_length_c 12.890
_cell_angle_alpha 90.00
_cell_angle_beta 116.96
_cell_angle_gamma 90.00
loop_
_atom_site_label
_atom_site_fract_x
_atom_site_fract_y
_atom_site_fract_z
Ba1 0.023 0.000 0.349
Ba2 0.193 0.000 0.113
Hg1 0.029 0.500 0.894
Hg2 0.139 0.500 0.559
Pb1 0.218 0.500 0.335

=====

Entry 3:
# PBE TaVAu3, optimized geometry
# * total magnetization: 3.567 μB/cell
# * uncorrected energy: -24.805 eV/f.u.
data_TaVAu3
_symmetry_space_group_name_H-M 'P m -3 m'
_symmetry_Int_Tables_number 221
_symmetry_space_group_name_Hall '-P 4 2 3'
_cell_length_a 5.069
_cell_length_b 5.069
_cell_length_c 5.069
_cell_angle_alpha 90.00
_cell_angle_beta 90.00
_cell_angle_gamma 90.00
loop_
_atom_site_label
_atom_site_fract_x
_atom_site_fract_y
_atom_site_fract_z
Ta1 0.000 0.000 0.000
V1 0.500 0.500 0.500
Au1 0.000 0.000 0.500

=====

Entry 4:
# PBE K2CdBi2, optimized geometry
# * total magnetization: 0.098 μB/cell
# * uncorrected energy: -11.601 eV/f.u.
data_K2CdBi2
_symmetry_space_group_name_H-M 'I b a m'
_symmetry_Int_Tables_number 72
_symmetry_space_group_name_Hall '-I 2 2c'
_cell_length_a 7.746
_cell_length_b 15.043
_cell_length_c 7.204
_cell_angle_alpha 90.00
_cell_angle_beta 90.00
_cell_angle_gamma 90.00
loop_
_atom_site_label
_atom_site_fract_x
_atom_site_fract_y
_atom_site_fract_z
K1 0.186 0.139 0.000
Cd1 0.000 0.500 0.250
Bi1 0.204 0.385 0.000

=====

Entry 5:
# PBE CsThCuS3, optimized geometry
# * formation energy without anion corrections: -1.45 eV/atom
# * total magnetization: 0.000 μB/cell
# * uncorrected energy: -33.435 eV/f.u.
data_CsThCuS3
_symmetry_space_group_name_H-M 'P 1 21/m 1'
_symmetry_Int_Tables_number 11
_symmetry_space_group_name_Hall '-P 2yb'
_cell_length_a 9.485
_cell_length_b 4.137
_cell_length_c 9.701
_cell_angle_alpha 90.00
_cell_angle_beta 110.97
_cell_angle_gamma 90.00
loop_
_atom_site_label
_atom_site_fract_x
_atom_site_fract_y
_atom_site_fract_z
Cs1 0.210 0.250 0.254
Th1 0.316 0.750 0.833
Cu1 0.083 0.250 0.599
S1 0.129 0.250 0.854
S2 0.183 0.750 0.536
S3 0.473 0.750 0.149

=====

Entry 6:
# PBE PaTaTcRu, optimized geometry
# * total magnetization: 0.000 μB/cell
# * uncorrected energy: -41.886 eV/f.u.
data_PaTaTcRu
_symmetry_space_group_name_H-M 'F -4 3 m'
_symmetry_Int_Tables_number 216
_symmetry_space_group_name_Hall 'F -4 2 3'
_cell_length_a 6.614
_cell_length_b 6.614
_cell_length_c 6.614
_cell_angle_alpha 90.00
_cell_angle_beta 90.00
_cell_angle_gamma 90.00
loop_
_atom_site_label
_atom_site_fract_x
_atom_site_fract_y
_atom_site_fract_z
Pa1 0.000 0.000 0.000
Ta1 0.000 0.000 0.500
Tc1 0.250 0.250 0.250
Ru1 0.250 0.250 0.750

=====

> Number 4 is which compound?

K2CdBi2

=====

> Which of these has the lowest uncorrected energy?

PaTaTcRu

=====

> Which value of uncorrected energy does entry 1 give?

-27.306 eV/f.u.

=====

What did the fourth record say?
# PBE K2CdBi2, optimized geometry
# * total magnetization: 0.098 μB/cell
# * uncorrected energy: -11.601 eV/f.u.
data_K2CdBi2
_symmetry_space_group_name_H-M 'I b a m'
_symmetry_Int_Tables_number 72
_symmetry_space_group_name_Hall '-I 2 2c'
_cell_length_a 7.746
_cell_length_b 15.043
_cell_length_c 7.204
_cell_angle_alpha 90.00
_cell_angle_beta 90.00
_cell_angle_gamma 90.00
loop_
_atom_site_label
_atom_site_fract_x
_atom_site_fract_y
_atom_site_fract_z
K1 0.186 0.139 0.000
Cd1 0.000 0.500 0.250
Bi1 0.204 0.385 0.000